PaVBiO6 after structural relaxation, computed with GGA+U.

The structure in POSCAR format:
```
PaVBiO6
1.0
5.5241 0.0000 0.0000
-2.7621 4.7841 0.0000
0.0000 0.0000 9.7803
Pa O Bi V
2 12 2 2
direct
0.6667 0.3333 0.7500 Pa
0.3333 0.6667 0.2500 Pa
0.9724 0.3451 0.1394 O
0.6549 0.6273 0.1394 O
0.3727 0.0276 0.1394 O
0.3451 0.9724 0.6394 O
0.9724 0.6273 0.3606 O
0.3451 0.3727 0.8606 O
0.0276 0.3727 0.6394 O
0.0276 0.6549 0.8606 O
0.6273 0.6549 0.6394 O
0.3727 0.3451 0.3606 O
0.6273 0.9724 0.8606 O
0.6549 0.0276 0.3606 O
0.0000 0.0000 0.0000 Bi
0.0000 0.0000 0.5000 Bi
0.3333 0.6667 0.7500 V
0.6667 0.3333 0.2500 V
```

Calculated values
SG: P-31c
VASP energy, eV for the cell shown: -143.02